11
Lattice="8.295 0.000 0.000 0.000 4.068 0.000 -1.093 0.000 9.509" Properties=species:S:1:pos:R:3 comment="Ac4Sn2Au5 (PBE, optimized geometry)" total_magnetization_mub_per_fu=0.0 spacegroup="P2/m (10)" delta_e_f_ev_per_atom=-0.712 pbc="T T T"
Ac 1.473 0.000 3.201
Ac 1.211 0.000 8.274
Ac 5.991 0.000 1.234
Ac 5.729 0.000 6.308
Sn 2.787 2.034 5.900
Sn 4.416 2.034 3.609
Au 0.000 2.034 0.000
Au -0.048 2.034 6.072
Au 3.100 2.034 1.084
Au 4.102 2.034 8.424
Au 7.250 2.034 3.437